Here is an optimized crystal structure of CaScW2 from Alexandria. Energies are from GGA-PBE.

The space group is C2/m (No. 12) and the conventional cell measures 5.6179, 9.9586 and 2.8018 Å, with angles of 90.00, 98.68 and 90.00 degrees. The distinct sites, in fractional coordinates, are Ca at (0.0000, 0.0000, 0.0000), Sc at (0.0000, 0.5000, 0.0000) and W at (0.2500, 0.2500, 0.5000).

The calculation puts the polymorph energy (0 for the lowest one) at 133.8 kJ/mol of formula units.

---

Here is an optimized crystal structure of CaScW2 from Alexandria. Energies are from GGA-PBE.

The space group is P2/m (No. 10) and the conventional cell measures 2.8182, 4.8384 and 6.2462 Å, with angles of 90.00, 100.07 and 90.00 degrees. The distinct sites, in fractional coordinates, are Ca at (0.0000, 0.0000, 0.0000), Sc at (0.0000, 0.0000, 0.5000) and W at (0.4739, 0.5000, 0.6968).

The calculation puts the polymorph energy (0 for the lowest one) at 110.8 kJ/mol of formula units.

---

Here is an optimized crystal structure of CaScW from Alexandria. Energies are from GGA-PBE.

The space group is I4mm (No. 107) and the conventional cell measures 2.9655, 2.9655 and 15.5060 Å, with angles of 90.00, 90.00 and 90.00 degrees. The distinct sites, in fractional coordinates, are Ca at (0.0000, 0.0000, 0.0000), Sc at (0.0000, 0.0000, 0.2955) and W at (0.0000, 0.0000, 0.6609).

The calculation puts the polymorph energy (0 for the lowest one) at 2.4 kJ/mol of formula units.

---

Here is an optimized crystal structure of Ca2ScW from Alexandria. Energies are from GGA-PBE.

The space group is P4/mmm (No. 123) and the conventional cell measures 3.0336, 3.0336 and 10.8545 Å, with angles of 90.00, 90.00 and 90.00 degrees. The distinct sites, in fractional coordinates, are Ca at (0.0000, 0.0000, 0.2206), Sc at (0.5000, 0.5000, 0.5000) and W at (0.5000, 0.5000, 0.0000).

The calculation puts the polymorph energy (0 for the lowest one) at 93.3 kJ/mol of formula units.

---

Here is an optimized crystal structure of CaSc2W from Alexandria. Energies are from GGA-PBE.

The space group is P4mm (No. 99) and the conventional cell measures 2.9940, 2.9940 and 10.2609 Å, with angles of 90.00, 90.00 and 90.00 degrees. The distinct sites, in fractional coordinates, are Ca at (0.0000, 0.0000, 0.0000), Sc at (0.0000, 0.0000, 0.5541), Sc at (0.5000, 0.5000, 0.2963) and W at (0.5000, 0.5000, 0.7590).

The calculation puts the polymorph energy (0 for the lowest one) at 83.2 kJ/mol of formula units.

---

Here is an optimized crystal structure of Ca2ScW from Alexandria. Energies are from GGA-PBE.

The space group is I-42d (No. 122) and the conventional cell measures 4.2621, 4.2621 and 22.3292 Å, with angles of 90.00, 90.00 and 90.00 degrees. The distinct sites, in fractional coordinates, are Ca at (0.2351, 0.2500, 0.1250), Sc at (0.0000, 0.0000, 0.5000) and W at (0.0000, 0.0000, 0.0000).

The calculation puts the polymorph energy (0 for the lowest one) at 227.0 kJ/mol of formula units.

---

Here is an optimized crystal structure of CaScW2 from Alexandria. Energies are from GGA-PBE.

The space group is Cm (No. 8) and the conventional cell measures 9.2929, 2.8345 and 6.2602 Å, with angles of 90.00, 90.95 and 90.00 degrees. The distinct sites, in fractional coordinates, are Ca at (0.0000, 0.0000, 0.0000), Sc at (0.2390, 0.0000, 0.6959), W at (0.0015, 0.5000, 0.4675) and W at (0.2489, 0.5000, 0.2841).

The calculation puts the polymorph energy (0 for the lowest one) at 108.3 kJ/mol of formula units.

---

Here is an optimized crystal structure of CaScW2 from Alexandria. Energies are from GGA-PBE.

The space group is P4mm (No. 99) and the conventional cell measures 3.2898, 3.2898 and 8.2528 Å, with angles of 90.00, 90.00 and 90.00 degrees. The distinct sites, in fractional coordinates, are Ca at (0.0000, 0.0000, 0.0000), Sc at (0.5000, 0.5000, 0.3621), W at (0.0000, 0.0000, 0.5739) and W at (0.5000, 0.5000, 0.7303).

The calculation puts the polymorph energy (0 for the lowest one) at 0.0 kJ/mol of formula units.

---

Here is an optimized crystal structure of Ca2ScW from Alexandria. Energies are from GGA-PBE.

The space group is Immm (No. 71) and the conventional cell measures 4.4690, 4.4803 and 9.8777 Å, with angles of 90.00, 90.00 and 90.00 degrees. The distinct sites, in fractional coordinates, are Ca at (0.0000, 0.0000, 0.2498), Sc at (0.0000, 0.5000, 0.0000) and W at (0.0000, 0.5000, 0.5000).

The calculation puts the polymorph energy (0 for the lowest one) at 116.4 kJ/mol of formula units.

---

Here is an optimized crystal structure of CaScW from Alexandria. Energies are from GGA-PBE.

The space group is P3m1 (No. 156) and the conventional cell measures 3.1288, 3.1288 and 8.0257 Å, with angles of 90.00, 90.00 and 120.00 degrees. The distinct sites, in fractional coordinates, are Ca at (0.0000, 0.0000, 0.0000), Sc at (0.3333, 0.6667, 0.3958) and W at (0.6667, 0.3333, 0.6770).

The calculation puts the polymorph energy (0 for the lowest one) at 41.2 kJ/mol of formula units.

---

Here is an optimized crystal structure of CaScW2 from Alexandria. Energies are from GGA-PBE.

The space group is R-3m (No. 166, hexagonal axes) and the conventional cell measures 2.9783, 2.9783 and 30.5963 Å, with angles of 90.00, 90.00 and 120.00 degrees. The distinct sites, in fractional coordinates, are Ca at (0.0000, 0.0000, 0.0000), Sc at (0.0000, 0.0000, 0.5000) and W at (0.0000, 0.0000, 0.2459).

The calculation puts the polymorph energy (0 for the lowest one) at 161.4 kJ/mol of formula units.

---

Here is an optimized crystal structure of CaSc4W from Alexandria. Energies are from GGA-PBE.

The space group is F-43m (No. 216) and the conventional cell measures 8.2988, 8.2988 and 8.2988 Å, with angles of 90.00, 90.00 and 90.00 degrees. The distinct sites, in fractional coordinates, are Ca at (0.0000, 0.0000, 0.0000), Sc at (0.1211, 0.1211, 0.6211) and W at (0.2500, 0.2500, 0.2500).

For the total energy, the calculation gives -6.01 eV per atom.

---

| no. | N(E_F) (states/eV/cell) |
| --- | --- |
| 1 | 7.07 |
| 2 | 3.19 |
| 3 | 6.16 |
| 4 | 3.96 |
| 5 | 6.08 |
| 6 | 23.96 |
| 7 | 8.62 |
| 8 | 4.10 |
| 9 | 11.98 |
| 10 | 5.05 |
| 11 | 13.42 |
| 12 | 39.62 |